Record 1
The following is a PBE-GGA calculation of K2RuPt3O12 after structural relaxation, from the Alexandria database.

Lattice parameters (Å, degrees): 7.244 7.244 7.244 59.02 59.02 59.02
Site moments in Bohr magnetons follow the coordinates.
Element x y z (fractional)
1 K 0.629 0.629 0.629  0.00
2 K 0.371 0.371 0.371  0.00
3 Ru 0.000 0.000 0.000  0.53
4 Pt 0.500 0.000 0.000  0.15
5 Pt 0.000 0.500 0.000  0.15
6 Pt 0.000 0.000 0.500  0.15
7 O 0.333 0.333 0.927  0.15
8 O 0.931 0.931 0.315  0.04
9 O 0.315 0.931 0.931  0.04
10 O 0.927 0.333 0.333  0.15
11 O 0.931 0.315 0.931  0.04
12 O 0.333 0.927 0.333  0.15
13 O 0.667 0.667 0.073  0.15
14 O 0.069 0.069 0.685  0.04
15 O 0.685 0.069 0.069  0.04
16 O 0.073 0.667 0.667  0.15
17 O 0.069 0.685 0.069  0.04
18 O 0.667 0.073 0.667  0.15

Output
- E_form (uncorrected): -700 meV/atom
- V: 262.7 Å³ per cell
- Raw total energy: -101.69 eV for the cell shown
- SG: R-3m
- Magnetization: 2.4 μB/f.u.

Record 2
The following is a PBE-GGA calculation of Sm2GdAg after structural relaxation, from the Alexandria database.

Lattice parameters (Å, degrees): 5.446 5.446 5.446 60.00 60.00 60.00
Site moments in Bohr magnetons follow the coordinates.
Element x y z (fractional)
1 Gd 0.000 0.000 0.000  -7.28
2 Ag 0.500 0.500 0.500  0.00
3 Sm 0.250 0.250 0.250  -0.09
4 Sm 0.750 0.750 0.750  -0.09

Output
- V: 114.2 Å³ per cell
- Raw total energy: -26.11 eV for the cell shown
- SG: Fm-3m
- Energy of formation: 6.2 kJ/mol of atoms
- Magnetization: 7.8 μB/f.u.

Record 3
The following is a PBE-GGA calculation of GdHf3 after structural relaxation, from the Alexandria database.

Lattice parameters (Å, degrees): 3.261 5.718 6.148 117.71 105.38 90.00
Site moments in Bohr magnetons follow the coordinates.
Element x y z (fractional)
1 Gd 0.000 0.000 0.000  -7.10
2 Hf 0.245 0.576 0.490  0.03
3 Hf 0.500 0.505 0.000  0.02
4 Hf 0.755 0.086 0.510  0.03

Output
- V: 96.8 Å³ per cell
- Raw total energy: -43.45 eV for the cell shown
- SG: Imm2
- Energy of formation: 11.9 kJ/mol of atoms
- Magnetization: 7.1 μB/f.u.

Record 4
The following is a PBE-GGA calculation of Er9Tm4Zn11 after structural relaxation, from the Alexandria database.

Lattice parameters (Å, degrees): 3.403 12.958 12.958 107.35 90.00 90.00
Element x y z (fractional)
1 Er 0.500 0.623 0.149
2 Er 0.500 0.377 0.851
3 Er 0.500 0.149 0.623
4 Er 0.500 0.851 0.377
5 Er 0.500 0.795 0.978
6 Er 0.500 0.205 0.022
7 Er 0.500 0.978 0.795
8 Er 0.500 0.022 0.205
9 Er 0.500 0.500 0.500
10 Tm 0.500 0.583 0.755
11 Tm 0.500 0.417 0.245
12 Tm 0.500 0.755 0.583
13 Tm 0.500 0.245 0.417
14 Zn 0.000 0.584 0.947
15 Zn 0.000 0.416 0.053
16 Zn 0.000 0.947 0.584
17 Zn 0.000 0.053 0.416
18 Zn 0.000 0.630 0.370
19 Zn 0.000 0.370 0.630
20 Zn 0.000 0.824 0.176
21 Zn 0.000 0.176 0.824
22 Zn 0.000 0.000 0.000
23 Zn 0.000 0.783 0.783
24 Zn 0.000 0.217 0.217

Output
- V: 545.3 Å³ per cell
- Raw total energy: -78.89 eV for the cell shown
- SG: Cmmm
- Energy of formation: -23.8 kJ/mol of atoms
- Magnetization: 0.0 μB/f.u.

Record 5
The following is a PBE-GGA calculation of KCrH3 after structural relaxation, from the Alexandria database.

Lattice parameters (Å, degrees): 3.885 3.885 3.885 90.00 90.00 90.00
Site moments in Bohr magnetons follow the coordinates.
Element x y z (fractional)
1 Cr 0.000 0.000 0.000  3.63
2 K 0.500 0.500 0.500  0.03
3 H 0.000 0.500 0.000  -0.04
4 H 0.000 0.000 0.500  -0.04
5 H 0.500 0.000 0.000  -0.02

Output
- V: 58.6 Å³ per cell
- Raw total energy: -20.82 eV for the cell shown
- SG: Pm-3m
- Magnetization: 4.0 μB/f.u.

Record 6
The following is a PBE-GGA calculation of RbAcTcO5 after structural relaxation, from the Alexandria database.

Lattice parameters (Å, degrees): 6.757 6.757 8.633 103.35 103.35 106.82
Site moments in Bohr magnetons follow the coordinates.
Element x y z (fractional)
1 Rb 0.326 0.674 0.250  0.00
2 Rb 0.674 0.326 0.750  0.00
3 Ac 0.000 0.000 0.500  0.01
4 Ac 0.000 0.000 0.000  0.01
5 Tc 0.679 0.321 0.250  0.66
6 Tc 0.321 0.679 0.750  0.66
7 O 0.077 0.923 0.250  -0.02
8 O 0.923 0.077 0.750  -0.02
9 O 0.865 0.308 0.132  0.06
10 O 0.135 0.692 0.868  0.06
11 O 0.692 0.135 0.368  0.06
12 O 0.308 0.865 0.632  0.06
13 O 0.741 0.583 0.397  0.06
14 O 0.259 0.417 0.603  0.06
15 O 0.417 0.259 0.103  0.06
16 O 0.583 0.741 0.897  0.06

Output
- E_form (uncorrected): -2063 meV/atom
- V: 347.8 Å³ per cell
- Raw total energy: -113.48 eV for the cell shown
- SG: C2/c
- Magnetization: 1.0 μB/f.u.